Entry 1:
A geometry-optimized CdGaI2 structure, computed with GGA-PBE.

Unit cell a=5.661 b=5.661 c=5.661 alpha=60.00 beta=60.00 gamma=60.00
Fractional positions:
I  0.250  0.250  0.250
I  0.750  0.750  0.750
Ga  0.000  0.000  0.000
Cd  0.500  0.500  0.500

The value obtained for the raw formation energy is -0.12 eV per atom. The value obtained for the density of states at the Fermi level is 1.128 states/eV/atom.

---

Entry 2:
A geometry-optimized La2YAg structure, computed with GGA-PBE.

Unit cell a=5.492 b=5.492 c=5.492 alpha=60.00 beta=60.00 gamma=60.00
Fractional positions:
Ag  0.500  0.500  0.500
La  0.000  0.000  0.000
La  0.750  0.750  0.750
Y  0.250  0.250  0.250

The formation energy comes out at 0.067 eV per atom. The value obtained for the density of states at the Fermi level is 1.305 states/eV/atom.

---

Entry 3:
A geometry-optimized ZnInCl4 structure, computed with GGA-PBE.

Unit cell a=3.812 b=6.789 c=12.967 alpha=91.35 beta=90.00 gamma=90.00
Fractional positions:
Zn  0.000  0.000  0.500
Zn  0.500  0.500  0.000
In  0.500  0.500  0.500
In  0.000  0.000  0.000
Cl  0.500  0.140  0.393
Cl  0.000  0.360  0.107
Cl  0.500  0.860  0.607
Cl  0.000  0.640  0.893
Cl  0.000  0.705  0.387
Cl  0.500  0.795  0.113
Cl  0.000  0.295  0.613
Cl  0.500  0.205  0.887

The value obtained for the raw formation energy is -0.91 eV per atom. The value obtained for the density of states at the Fermi level is 0.685 states/eV/atom.

---

Entry 4:
A geometry-optimized CdCu structure, computed with GGA-PBE.

Unit cell a=9.600 b=9.600 c=3.214 alpha=90.00 beta=90.00 gamma=90.00
Fractional positions:
Cd  0.181  0.880  0.000
Cd  0.819  0.120  0.000
Cd  0.120  0.181  0.000
Cd  0.880  0.819  0.000
Cd  0.681  0.380  0.500
Cd  0.319  0.620  0.500
Cd  0.620  0.681  0.500
Cd  0.380  0.319  0.500
Cu  0.384  0.080  0.000
Cu  0.616  0.920  0.000
Cu  0.920  0.384  0.000
Cu  0.080  0.616  0.000
Cu  0.884  0.580  0.500
Cu  0.116  0.420  0.500
Cu  0.420  0.884  0.500
Cu  0.580  0.116  0.500

The formation energy comes out at 0.128 eV per atom. The value obtained for the density of states at the Fermi level is 0.241 states/eV/atom.

---

Entry 5:
A geometry-optimized Al2ReAgC structure, computed with GGA-PBE.

Unit cell a=4.804 b=5.061 c=4.804 alpha=90.00 beta=90.00 gamma=90.00
Fractional positions:
Re  0.000  0.000  0.000
C  0.500  0.500  0.500
Al  0.000  0.000  0.500
Al  0.500  0.000  0.000
Ag  0.000  0.500  0.000

The formation energy comes out at 2.171 eV per atom. The value obtained for the density of states at the Fermi level is 1.012 states/eV/atom.